TaTiGeRu2 after structural relaxation. Source: Alexandria, functional PBE-GGA.

Unit cell a=4.736 b=5.002 c=4.736 alpha=90.00 beta=90.00 gamma=90.00
Element x y z (fractional)
Ti  0.000  0.500  0.000
Ta  0.000  0.000  0.000
Ge  0.500  0.500  0.500
Ru  0.000  0.000  0.500
Ru  0.500  0.000  0.000

Calculated values
total moment: 0.02 Bohr magnetons per cell
ΔE_f: 1286 meV/atom
volume: 112.2 Å³/cell

---

Tm2TaGe2Ru5 after structural relaxation. Source: Alexandria, functional PBE-GGA.

Unit cell a=3.293 b=10.109 c=10.109 alpha=90.00 beta=90.00 gamma=90.00
Element x y z (fractional)
Ru  0.500  0.000  0.500
Ru  0.500  0.065  0.797
Ta  0.000  0.000  0.000
Ru  0.500  0.797  0.935
Ge  0.000  0.628  0.872
Ge  0.000  0.872  0.372
Tm  0.000  0.328  0.828
Tm  0.000  0.828  0.672
Ru  0.500  0.935  0.203
Ru  0.500  0.297  0.565
Ru  0.500  0.203  0.065
Tm  0.000  0.672  0.172
Tm  0.000  0.172  0.328
Ru  0.500  0.565  0.703
Ta  0.000  0.500  0.500
Ge  0.000  0.128  0.628
Ge  0.000  0.372  0.128
Ru  0.500  0.703  0.435
Ru  0.500  0.435  0.297
Ru  0.500  0.500  0.000

Calculated values
total moment: 0.00 Bohr magnetons per cell
ΔE_f: -518 meV/atom
volume: 336.5 Å³/cell

---

Ta2V2GeRu5 after structural relaxation. Source: Alexandria, functional PBE-GGA.

Unit cell a=2.989 b=10.061 c=10.061 alpha=90.00 beta=90.00 gamma=90.00
Element x y z (fractional)
Ru  0.500  0.000  0.500
Ta  0.000  0.823  0.677
Ru  0.500  0.038  0.798
Ta  0.000  0.323  0.823
Ru  0.500  0.538  0.702
Ta  0.000  0.677  0.177
Ru  0.500  0.202  0.038
Ge  0.000  0.500  0.500
Ge  0.000  0.000  0.000
Ta  0.000  0.177  0.323
V  0.000  0.363  0.137
Ru  0.500  0.702  0.462
Ru  0.500  0.798  0.962
Ru  0.500  0.462  0.298
V  0.000  0.137  0.637
V  0.000  0.863  0.363
Ru  0.500  0.500  0.000
V  0.000  0.637  0.863
Ru  0.500  0.962  0.202
Ru  0.500  0.298  0.538

Calculated values
total moment: 0.00 Bohr magnetons per cell
ΔE_f: -98 meV/atom
volume: 302.6 Å³/cell

---

YTaGe2Ru after structural relaxation. Source: Alexandria, functional PBE-GGA.

Unit cell a=5.010 b=4.806 c=5.010 alpha=90.00 beta=90.00 gamma=90.00
Element x y z (fractional)
Y  0.500  0.500  0.500
Ta  0.000  0.000  0.000
Ge  0.500  0.000  0.000
Ru  0.000  0.500  0.000
Ge  0.000  0.000  0.500

Calculated values
total moment: 0.00 Bohr magnetons per cell
ΔE_f: 355 meV/atom
volume: 120.6 Å³/cell

---

Tb2Ge5Ru3 after structural relaxation. Source: Alexandria, functional PBE-GGA.

Unit cell a=5.787 b=8.488 c=8.488 alpha=95.05 beta=70.04 gamma=70.04
Element x y z (fractional)
Ge  0.825  0.263  0.088
Ge  0.750  0.793  0.207
Ge  0.325  0.088  0.263
Ge  0.175  0.737  0.912
Ge  0.250  0.793  0.207
Ge  0.675  0.912  0.737
Ru  0.591  0.556  0.261
Tb  0.231  0.409  0.129
Ge  0.250  0.500  0.500
Ru  0.250  0.000  0.000
Ru  0.750  0.000  0.000
Ge  0.750  0.207  0.793
Tb  0.731  0.129  0.409
Ge  0.750  0.500  0.500
Ru  0.909  0.739  0.444
Ge  0.250  0.207  0.793
Ru  0.409  0.444  0.739
Ru  0.091  0.261  0.556
Tb  0.269  0.871  0.591
Tb  0.769  0.591  0.871

Calculated values
total moment: 0.00 Bohr magnetons per cell
ΔE_f: -647 meV/atom
volume: 358.4 Å³/cell

---

Tb4GeRu2 after structural relaxation. Source: Alexandria, functional PBE-GGA.

Unit cell a=8.361 b=7.428 c=8.569 alpha=108.94 beta=118.00 gamma=113.89
Element x y z (fractional)
Ru  0.764  0.018  0.386
Ru  0.272  0.518  0.900
Tb  0.476  0.596  0.328
Ge  0.786  0.760  0.814
Tb  0.560  0.940  0.958
Tb  0.136  0.040  0.703
Ge  0.249  0.776  0.472
Tb  0.900  0.495  0.583
Tb  0.847  0.205  0.811
Tb  0.747  0.614  0.102
Ru  0.518  0.268  0.143
Tb  0.189  0.331  0.475
Tb  0.289  0.922  0.184
Ru  0.518  0.268  0.643

Calculated values
total moment: 0.00 Bohr magnetons per cell
ΔE_f: -421 meV/atom
volume: 331.0 Å³/cell

---

Copy entry 4 word for word.
YTaGe2Ru after structural relaxation. Source: Alexandria, functional PBE-GGA.

Unit cell a=5.010 b=4.806 c=5.010 alpha=90.00 beta=90.00 gamma=90.00
Element x y z (fractional)
Y  0.500  0.500  0.500
Ta  0.000  0.000  0.000
Ge  0.500  0.000  0.000
Ru  0.000  0.500  0.000
Ge  0.000  0.000  0.500

Calculated values
total moment: 0.00 Bohr magnetons per cell
ΔE_f: 355 meV/atom
volume: 120.6 Å³/cell

---

What is the formula in the fifth record?
Tb2Ge5Ru3

---

Which value of volume does entry 3 give?
302.6 Å³/cell